Computed, not measured: a PBEsol-optimized structure of TcPbBr at the meta-GGA SCAN level of DFT.

Properties
DFT total energy: -43.0380 eV/atom
E_form (uncorrected): 0.396 eV per atom
Offset from the most stable computed form: 0 meV per atom
Symmetry: P3m1 (156)
ρ: 9.506 g cm⁻³
M_tot: 0.00 μB/f.u.

Cell lengths 3.286, 3.286, 7.192 Å; angles 90.00, 90.00, 120.00 degrees
Positions (direct):
Tc 0.333 0.667 0.302
Pb 0.667 0.333 0.616
Br 0.000 0.000 0.083

---

Computed, not measured: a PBEsol-optimized structure of TcPbBr at the meta-GGA SCAN level of DFT.

Properties
DFT total energy: -42.8189 eV/atom
E_form (uncorrected): 0.615 eV per atom
Offset from the most stable computed form: 219 meV per atom
Symmetry: Fmm2 (42)
ρ: 9.587 g cm⁻³
M_tot: 0.00 μB/f.u.

Cell lengths 3.118, 3.211, 7.779 Å; angles 84.42, 78.44, 60.96 degrees
Positions (direct):
Tc 0.655 0.000 0.690
Br 0.031 0.000 0.938
Pb 0.314 0.000 0.372

---

Computed, not measured: a PBEsol-optimized structure of Te2PbBr at the meta-GGA SCAN level of DFT.

Properties
DFT total energy: -42.6657 eV/atom
E_form (uncorrected): -0.230 eV per atom
Offset from the most stable computed form: 41 meV per atom
Symmetry: I-42d (122)
ρ: 6.655 g cm⁻³
M_tot: 0.00 μB/f.u.

Cell lengths 5.661, 7.471, 7.471 Å; angles 81.75, 67.74, 67.74 degrees
Positions (direct):
Pb 0.750 0.500 0.500
Te 0.375 0.548 0.952
Te 0.077 0.048 0.548
Te 0.673 0.952 0.452
Pb 0.000 0.000 0.000
Te 0.875 0.452 0.048
Br 0.500 0.000 0.000
Br 0.250 0.500 0.500

---

Computed, not measured: a PBEsol-optimized structure of Te2PbBr at the meta-GGA SCAN level of DFT.

Properties
DFT total energy: -42.7067 eV/atom
E_form (uncorrected): -0.271 eV per atom
Offset from the most stable computed form: 0 meV per atom
Symmetry: Pmm2 (25)
ρ: 6.149 g cm⁻³
M_tot: 0.00 μB/f.u.

Cell lengths 4.270, 4.360, 7.866 Å; angles 90.00, 90.00, 90.00 degrees
Positions (direct):
Pb 0.500 0.500 0.692
Br 0.000 0.000 0.630
Te 0.000 0.000 0.106
Te 0.500 0.500 0.072

---

What did the first record say?
Computed, not measured: a PBEsol-optimized structure of TcPbBr at the meta-GGA SCAN level of DFT.

Properties
DFT total energy: -43.0380 eV/atom
E_form (uncorrected): 0.396 eV per atom
Offset from the most stable computed form: 0 meV per atom
Symmetry: P3m1 (156)
ρ: 9.506 g cm⁻³
M_tot: 0.00 μB/f.u.

Cell lengths 3.286, 3.286, 7.192 Å; angles 90.00, 90.00, 120.00 degrees
Positions (direct):
Tc 0.333 0.667 0.302
Pb 0.667 0.333 0.616
Br 0.000 0.000 0.083

---

> Number 1 is which compound?

TcPbBr

---

> Which formula does entry 1 have?

TcPbBr